# PBE KNbBr3, relaxed
data_KNbBr3
_symmetry_space_group_name_H-M 'R -3 c'
_symmetry_Int_Tables_number 167
_symmetry_space_group_name_Hall '-R 3 2"c'
_cell_length_a 7.7151
_cell_length_b 7.7151
_cell_length_c 17.8235
_cell_angle_alpha 90.00
_cell_angle_beta 90.00
_cell_angle_gamma 120.00
loop_
_atom_site_label
_atom_site_type_symbol
_atom_site_fract_x
_atom_site_fract_y
_atom_site_fract_z
K1 K 0.0000 0.0000 0.2500
Nb1 Nb 0.0000 0.0000 0.0000
Br1 Br 0.0000 0.4169 0.2500
# energy above the most stable polymorph in this dataset: 19.4 meV/atom
# calculated total energy: -123.9 eV/cell
# total magnetic moment: 18.01 μB/cell